A relaxed MnTePdO6 crystal. Source: Alexandria via LeMat-Bulk, functional PBE with a Hubbard U.

## Properties
The total energy comes out at -6.036 eV per atom. As for the space group: P-31c, No. 163.

```
18
Lattice="-2.744 -4.366 -0.582 5.186 -0.164 -0.085 0.111 -1.311 9.311" Properties=species:S:1:pos:R:3 pbc="T T T"
Mn 0.000 0.000 0.000
Mn 0.055 -0.656 4.656
Te -0.073 -3.293 1.911
Te 2.626 -2.548 6.733
Pd 2.571 -1.892 2.077
Pd -0.017 -3.949 6.567
O 1.553 -3.117 0.820
O -0.886 -4.560 0.646
O 4.247 -2.525 5.620
O 3.439 -1.282 7.998
O 0.871 -2.107 3.164
O 0.642 -4.910 2.772
O 3.477 -4.093 7.602
O -1.694 -3.316 3.024
O 1.911 -0.931 5.872
O -0.924 -1.748 1.042
O 1.682 -3.734 5.480
O 1.000 -2.724 7.824
```